Material: Ta8Al2C3N3
Method: DFT, PBE-GGA
State: relaxed

abc: 3.1053 3.1053 24.2627
angles: 90.00 90.00 120.00
Space group P-3m1 (No. 164)
Unique sites:
Ta  0.0000  0.0000  0.1583 [2 per cell]
Ta  0.0000  0.0000  0.3410 [2 per cell]
Ta  0.3333  0.6667  0.0554 [2 per cell]
Ta  0.3333  0.6667  0.4490 [2 per cell]
Al  0.3333  0.6667  0.2507 [2 per cell]
C  0.0000  0.0000  0.0000 [1 per cell]
C  0.3333  0.6667  0.8914 [2 per cell]
N  0.0000  0.0000  0.5000 [1 per cell]
N  0.3333  0.6667  0.6055 [2 per cell]

Computed properties:
E: -10.33 eV/atom

***

Material: ScTcAg2
Method: DFT, PBE-GGA
State: relaxed

abc: 6.537 6.537 6.537
angles: 90.00 90.00 90.00
Space group F-43m (No. 216)
Unique sites:
Sc  0.000  0.000  0.000 [4 per cell]
Tc  0.250  0.250  0.750 [4 per cell]
Ag  0.000  0.000  0.500 [4 per cell]
Ag  0.250  0.250  0.250 [4 per cell]

Computed properties:
ΔH_f (0 K): 266.6 meV per atom
E: -5.32 eV/atom

***

| no. | V (Å³/cell) |
| --- | --- |
| 1 | 202.6 |
| 2 | 279.3 |